1.
# InBi12Pd7 PBE-GGA relaxed
data_InBi12Pd7
_chemical_formula_sum 'In3 Bi36 Pd21'
_cell_length_a 15.0847
_cell_length_b 15.0847
_cell_length_c 7.8399
_cell_angle_alpha 90.00
_cell_angle_beta 90.00
_cell_angle_gamma 120.00
_space_group_name_H-M_alt 'R -3'
_space_group_IT_number 148
_space_group_name_Hall '-R 3'
loop_
_atom_site_label
_atom_site_type_symbol
_atom_site_fract_x
_atom_site_fract_y
_atom_site_fract_z
In1 In 0.0000 0.0000 0.0000
Bi1 Bi 0.0587 0.8446 0.3781
Bi2 Bi 0.0597 0.2667 0.9871
Pd1 Pd 0.0000 0.0000 0.5000
Pd2 Pd 0.0439 0.8789 0.7527
# * E_form: -193 meV/atom
# * crystal system: trigonal
# * DOS(E_F): 0.36 states/eV per atom

---

2.
# CeErMg6 PBE-GGA relaxed
data_CeErMg6
_chemical_formula_sum 'Ce1 Er1 Mg6'
_cell_length_a 6.721
_cell_length_b 6.721
_cell_length_c 4.549
_cell_angle_alpha 90.00
_cell_angle_beta 90.00
_cell_angle_gamma 90.00
_space_group_name_H-M_alt 'P 4/m m m'
_space_group_IT_number 123
_space_group_name_Hall '-P 4 2'
loop_
_atom_site_label
_atom_site_type_symbol
_atom_site_fract_x
_atom_site_fract_y
_atom_site_fract_z
Ce1 Ce 0.000 0.000 0.000
Er1 Er 0.500 0.500 0.000
Mg1 Mg 0.000 0.500 0.000
Mg2 Mg 0.253 0.253 0.500
# * energy relative to the lowest polymorph listed for this composition: 25 meV/atom
# * E_form: 12 meV/atom
# * crystal system: tetragonal
# * DOS(E_F): 1.64 states/eV per atom

---

3.
# TmTh3Os8 PBE-GGA relaxed
data_TmTh3Os8
_chemical_formula_sum 'Tm3 Th9 Os24'
_cell_length_a 5.4258
_cell_length_b 5.4258
_cell_length_c 26.6524
_cell_angle_alpha 90.00
_cell_angle_beta 90.00
_cell_angle_gamma 120.00
_space_group_name_H-M_alt 'R 3 m'
_space_group_IT_number 160
_space_group_name_Hall 'R 3 -2"'
loop_
_atom_site_label
_atom_site_type_symbol
_atom_site_fract_x
_atom_site_fract_y
_atom_site_fract_z
Tm1 Tm 0.0000 0.0000 0.0000
Th1 Th 0.0000 0.0000 0.1239
Th2 Th 0.0000 0.0000 0.4992
Th3 Th 0.0000 0.0000 0.6250
Os1 Os 0.0000 0.0000 0.3129
Os2 Os 0.0000 0.0000 0.8125
Os3 Os 0.0023 0.5011 0.5636
Os4 Os 0.1680 0.3360 0.3941
# * E_form: -267 meV/atom
# * crystal system: trigonal
# * DOS(E_F): 0.54 states/eV per atom

---

4.
# LaY6Tm2 PBE-GGA relaxed
data_LaY6Tm2
_chemical_formula_sum 'La2 Y12 Tm4'
_cell_length_a 12.724
_cell_length_b 3.711
_cell_length_c 13.066
_cell_angle_alpha 90.00
_cell_angle_beta 106.62
_cell_angle_gamma 90.00
_space_group_name_H-M_alt 'C 1 2/m 1'
_space_group_IT_number 12
loop_
_space_group_symop_operation_xyz
'x,y,z'
'-x,-y,-z'
'-x,y,-z'
'x,-y,z'
'x+1/2,y+1/2,z'
'-x+1/2,-y+1/2,-z'
'-x+1/2,y+1/2,-z'
'x+1/2,-y+1/2,z'
loop_
_atom_site_label
_atom_site_type_symbol
_atom_site_fract_x
_atom_site_fract_y
_atom_site_fract_z
La1 La 0.000 0.000 0.000
Y1 Y 0.033 0.000 0.691
Y2 Y 0.145 0.500 0.523
Y3 Y 0.199 0.500 0.892
Tm1 Tm 0.174 0.500 0.258
# * energy relative to the lowest polymorph listed for this composition: 0 meV/atom
# * E_form: 61 meV/atom
# * crystal system: monoclinic
# * DOS(E_F): 1.67 states/eV per atom

---

5.
# CaP2Br PBE-GGA relaxed
data_CaP2Br
_chemical_formula_sum 'Ca2 P4 Br2'
_cell_length_a 7.893
_cell_length_b 3.638
_cell_length_c 8.183
_cell_angle_alpha 90.00
_cell_angle_beta 108.06
_cell_angle_gamma 90.00
_space_group_name_H-M_alt 'C 1 m 1'
_space_group_IT_number 8
loop_
_space_group_symop_operation_xyz
'x,y,z'
'x,-y,z'
'x+1/2,y+1/2,z'
'x+1/2,-y+1/2,z'
loop_
_atom_site_label
_atom_site_type_symbol
_atom_site_fract_x
_atom_site_fract_y
_atom_site_fract_z
Ca1 Ca 0.000 0.000 0.000
P1 P 0.263 0.500 0.225
P2 P 0.419 0.000 0.325
Br1 Br 0.246 0.000 0.789
# * energy relative to the lowest polymorph listed for this composition: 37 meV/atom
# * crystal system: monoclinic
# * DOS(E_F): 0.35 states/eV per atom
# * uncorrected formation energy: -0.7954 eV per atom

---

6.
# Mg2CdAs PBE-GGA relaxed
data_Mg2CdAs
_chemical_formula_sum 'Mg2 Cd1 As1'
_cell_length_a 3.858
_cell_length_b 3.858
_cell_length_c 5.779
_cell_angle_alpha 90.00
_cell_angle_beta 90.00
_cell_angle_gamma 90.00
_space_group_name_H-M_alt 'P 4 m m'
_space_group_IT_number 99
loop_
_space_group_symop_operation_xyz
'x,y,z'
'-y,x,z'
'-x,-y,z'
'y,-x,z'
'-x,y,z'
'y,x,z'
'x,-y,z'
'-y,-x,z'
loop_
_atom_site_label
_atom_site_type_symbol
_atom_site_fract_x
_atom_site_fract_y
_atom_site_fract_z
Mg1 Mg 0.000 0.000 0.000
Mg2 Mg 0.500 0.500 0.312
Cd1 Cd 0.500 0.500 0.800
As1 As 0.000 0.000 0.481
# * energy relative to the lowest polymorph listed for this composition: 116 meV/atom
# * E_form: -114 meV/atom
# * crystal system: tetragonal
# * DOS(E_F): 0.65 states/eV per atom

---

7.
# LaBeH6Ru PBE-GGA relaxed
data_LaBeH6Ru
_chemical_formula_sum 'La1 Be1 H6 Ru1'
_cell_length_a 4.4717
_cell_length_b 4.4717
_cell_length_c 4.4964
_cell_angle_alpha 90.00
_cell_angle_beta 90.00
_cell_angle_gamma 120.00
_space_group_name_H-M_alt 'P -6 m 2'
_space_group_IT_number 187
_space_group_name_Hall 'P -6 2'
loop_
_atom_site_label
_atom_site_type_symbol
_atom_site_fract_x
_atom_site_fract_y
_atom_site_fract_z
La1 La 0.0000 0.0000 0.0000
Be1 Be 0.3333 0.6667 0.5000
H1 H 0.0070 0.5035 0.2553
Ru1 Ru 0.6667 0.3333 0.5000
# * crystal system: hexagonal
# * DOS(E_F): 0.14 states/eV per atom
# * total DFT energy (no corrections): -4.59 eV/atom

---

8.
# AcTmMgSn2 PBE-GGA relaxed
data_AcTmMgSn2
_chemical_formula_sum 'Ac2 Tm2 Mg2 Sn4'
_cell_length_a 4.733
_cell_length_b 4.733
_cell_length_c 13.314
_cell_angle_alpha 90.00
_cell_angle_beta 90.00
_cell_angle_gamma 90.00
_space_group_name_H-M_alt 'I -4 m 2'
_space_group_IT_number 119
_space_group_name_Hall 'I -4 -2'
loop_
_atom_site_label
_atom_site_type_symbol
_atom_site_fract_x
_atom_site_fract_y
_atom_site_fract_z
Ac1 Ac 0.000 0.000 0.000
Tm1 Tm 0.000 0.500 0.750
Mg1 Mg 0.000 0.500 0.250
Sn1 Sn 0.000 0.000 0.389
# * E_form: -578 meV/atom
# * crystal system: tetragonal
# * DOS(E_F): 0.25 states/eV per atom

---

Copy entry 3 word for word.
# TmTh3Os8 PBE-GGA relaxed
data_TmTh3Os8
_chemical_formula_sum 'Tm3 Th9 Os24'
_cell_length_a 5.4258
_cell_length_b 5.4258
_cell_length_c 26.6524
_cell_angle_alpha 90.00
_cell_angle_beta 90.00
_cell_angle_gamma 120.00
_space_group_name_H-M_alt 'R 3 m'
_space_group_IT_number 160
_space_group_name_Hall 'R 3 -2"'
loop_
_atom_site_label
_atom_site_type_symbol
_atom_site_fract_x
_atom_site_fract_y
_atom_site_fract_z
Tm1 Tm 0.0000 0.0000 0.0000
Th1 Th 0.0000 0.0000 0.1239
Th2 Th 0.0000 0.0000 0.4992
Th3 Th 0.0000 0.0000 0.6250
Os1 Os 0.0000 0.0000 0.3129
Os2 Os 0.0000 0.0000 0.8125
Os3 Os 0.0023 0.5011 0.5636
Os4 Os 0.1680 0.3360 0.3941
# * E_form: -267 meV/atom
# * crystal system: trigonal
# * DOS(E_F): 0.54 states/eV per atom

---

Repeat the third record exactly.
# TmTh3Os8 PBE-GGA relaxed
data_TmTh3Os8
_chemical_formula_sum 'Tm3 Th9 Os24'
_cell_length_a 5.4258
_cell_length_b 5.4258
_cell_length_c 26.6524
_cell_angle_alpha 90.00
_cell_angle_beta 90.00
_cell_angle_gamma 120.00
_space_group_name_H-M_alt 'R 3 m'
_space_group_IT_number 160
_space_group_name_Hall 'R 3 -2"'
loop_
_atom_site_label
_atom_site_type_symbol
_atom_site_fract_x
_atom_site_fract_y
_atom_site_fract_z
Tm1 Tm 0.0000 0.0000 0.0000
Th1 Th 0.0000 0.0000 0.1239
Th2 Th 0.0000 0.0000 0.4992
Th3 Th 0.0000 0.0000 0.6250
Os1 Os 0.0000 0.0000 0.3129
Os2 Os 0.0000 0.0000 0.8125
Os3 Os 0.0023 0.5011 0.5636
Os4 Os 0.1680 0.3360 0.3941
# * E_form: -267 meV/atom
# * crystal system: trigonal
# * DOS(E_F): 0.54 states/eV per atom

---

- What is the formula in the fourth record?
  LaY6Tm2